(1)
# Te2AsCl

Te2AsCl after structural relaxation (PBE, Alexandria via LeMat-Bulk).

Summary:
- Calculated total energy: -3.11 eV/atom
- E_form (uncorrected): 0.0892 eV per atom
- Magnetic moment: 0.000 μB per formula unit
- Distance to the lowest polymorph of the same formula: 231 meV per atom

Lattice parameters (Å, degrees): 6.8258 6.8258 6.8258 111.59 111.59 105.32
Element x y z (fractional)
Te 0.0825 0.1250 0.4575
Te 0.3750 0.9175 0.0425
Te 0.6675 0.6250 0.5425
Te 0.8750 0.3325 0.9575
As 0.0000 0.0000 0.0000
As 0.7500 0.2500 0.5000
Cl 0.2500 0.7500 0.5000
Cl 0.5000 0.5000 0.0000

---

(2)
# Tl2TeAsCl

Tl2TeAsCl after structural relaxation (PBE, Alexandria via LeMat-Bulk).

Summary:
- Calculated total energy: -2.51 eV/atom
- E_form (uncorrected): 0.3617 eV per atom
- Magnetic moment: 2.123 μB per formula unit

Lattice parameters (Å, degrees): 6.4163 6.4163 5.2826 90.00 90.00 90.00
Element x y z (fractional)
Tl 0.0000 0.5000 0.0000
Tl 0.5000 0.0000 0.0000
Te 0.0000 0.0000 0.0000
As 0.5000 0.5000 0.5000
Cl 0.0000 0.0000 0.5000

---

(3)
# Th2AsCl2

Th2AsCl2 after structural relaxation (PBE, Alexandria via LeMat-Bulk).

Summary:
- Calculated total energy: -6.26 eV/atom
- E_form (uncorrected): -1.6278 eV per atom
- Magnetic moment: 0.000 μB per formula unit

Lattice parameters (Å, degrees): 12.9167 12.9167 12.9167 18.40 18.40 18.40
Element x y z (fractional)
Th 0.1237 0.1237 0.1237
Th 0.8763 0.8763 0.8763
As 0.5000 0.5000 0.5000
Cl 0.2560 0.2560 0.2560
Cl 0.7440 0.7440 0.7440

---

(4)
# Th6As5Cl

Th6As5Cl after structural relaxation (PBE, Alexandria via LeMat-Bulk).

Summary:
- Calculated total energy: -7.15 eV/atom
- E_form (uncorrected): -1.3441 eV per atom
- Magnetic moment: 0.000 μB per formula unit

Lattice parameters (Å, degrees): 7.3109 7.3109 7.3279 99.55 99.55 119.74
Element x y z (fractional)
Th 0.0746 0.4148 0.7458
Th 0.2435 0.2435 0.2526
Th 0.4148 0.0746 0.7458
Th 0.5852 0.9254 0.2542
Th 0.7565 0.7565 0.7474
Th 0.9254 0.5852 0.2542
As 0.0000 0.0000 0.5000
As 0.1673 0.8327 0.0000
As 0.3351 0.6649 0.5000
As 0.6649 0.3351 0.5000
As 0.8327 0.1673 0.0000
Cl 0.5000 0.5000 0.0000

---

(5)
# ThAsCl

ThAsCl after structural relaxation (PBE, Alexandria via LeMat-Bulk).

Summary:
- Calculated total energy: -5.87 eV/atom
- E_form (uncorrected): -1.2312 eV per atom
- Magnetic moment: 0.000 μB per formula unit

Lattice parameters (Å, degrees): 4.6930 4.6930 3.9185 90.00 90.00 120.00
Element x y z (fractional)
Th 0.0000 0.0000 0.0000
As 0.3333 0.6667 0.5000
Cl 0.6667 0.3333 0.0000

---

(6)
# TiAs2Cl

TiAs2Cl after structural relaxation (PBE, Alexandria via LeMat-Bulk).

Summary:
- Calculated total energy: -4.92 eV/atom
- E_form (uncorrected): -0.1582 eV per atom
- Magnetic moment: 1.010 μB per formula unit
- Distance to the lowest polymorph of the same formula: 0 meV per atom

Lattice parameters (Å, degrees): 10.8747 10.8747 10.8747 159.32 159.32 29.42
Element x y z (fractional)
Ti 0.0000 0.0000 0.0000
Ti 0.7500 0.2500 0.5000
As 0.0702 0.6250 0.9452
As 0.3750 0.3202 0.4452
As 0.6798 0.1250 0.0548
As 0.8750 0.9298 0.5548
Cl 0.2500 0.7500 0.5000
Cl 0.5000 0.5000 0.0000

---

(7)
# TiAs3Cl

TiAs3Cl after structural relaxation (PBE, Alexandria via LeMat-Bulk).

Summary:
- Calculated total energy: -4.71 eV/atom
- E_form (uncorrected): 0.0282 eV per atom
- Magnetic moment: 0.000 μB per formula unit
- Distance to the lowest polymorph of the same formula: 0 meV per atom

Lattice parameters (Å, degrees): 4.8785 4.8785 4.8785 90.00 90.00 90.00
Element x y z (fractional)
Ti 0.0000 0.0000 0.0000
As 0.0000 0.0000 0.5000
As 0.0000 0.5000 0.0000
As 0.5000 0.0000 0.0000
Cl 0.5000 0.5000 0.5000

---

(8)
# TiAsCl3

TiAsCl3 after structural relaxation (PBE, Alexandria via LeMat-Bulk).

Summary:
- Calculated total energy: -4.13 eV/atom
- E_form (uncorrected): -0.5157 eV per atom
- Magnetic moment: 4.000 μB per formula unit
- Distance to the lowest polymorph of the same formula: 0 meV per atom

Lattice parameters (Å, degrees): 4.9370 4.9370 4.9370 90.00 90.00 90.00
Element x y z (fractional)
Ti 0.0000 0.0000 0.0000
As 0.5000 0.5000 0.5000
Cl 0.0000 0.0000 0.5000
Cl 0.0000 0.5000 0.0000
Cl 0.5000 0.0000 0.0000

---

- Look up the E_form (uncorrected) of the fifth one.
  -1.2312 eV per atom

---

- What is the magnetic moment in the first record?
  0.000 μB per formula unit